A relaxed structure of NaSe2I2. Source: Alexandria, functional PBEsol.

Lattice parameters (Å, degrees): 3.8861 3.8861 18.6350 90.00 90.00 90.00
Fractional positions:
Na 0.0000 0.0000 0.0000
Na 0.5000 0.5000 0.5000
Se 0.0000 0.5000 0.2500
Se 0.0000 0.5000 0.7500
Se 0.5000 0.0000 0.2500
Se 0.5000 0.0000 0.7500
I 0.0000 0.0000 0.4127
I 0.0000 0.0000 0.5873
I 0.5000 0.5000 0.0873
I 0.5000 0.5000 0.9127

Energy relative to the elements, uncorrected = -0.221 eV per atom

A relaxed structure of Na3SeI. Source: Alexandria, functional PBEsol.

Lattice parameters (Å, degrees): 5.4356 5.4356 5.4356 90.00 90.00 90.00
Fractional positions:
Na 0.0000 0.0000 0.5000
Na 0.0000 0.5000 0.0000
Na 0.5000 0.0000 0.0000
Se 0.0000 0.0000 0.0000
I 0.5000 0.5000 0.5000

Energy relative to the elements, uncorrected = -1.041 eV per atom

A relaxed structure of NaTe2SeI. Source: Alexandria, functional PBEsol.

Lattice parameters (Å, degrees): 5.5008 5.5008 5.6508 90.00 90.00 90.00
Fractional positions:
Na 0.0000 0.0000 0.0000
Te 0.0000 0.5000 0.5000
Te 0.5000 0.0000 0.5000
Se 0.5000 0.5000 0.5000
I 0.5000 0.5000 0.0000

Energy relative to the elements, uncorrected = -0.030 eV per atom

A relaxed structure of NaSiI2. Source: Alexandria, functional PBEsol.

Lattice parameters (Å, degrees): 7.6178 7.6178 7.6178 90.00 90.00 90.00
Fractional positions:
Na 0.0000 0.0000 0.0000
Na 0.0000 0.5000 0.5000
Na 0.5000 0.0000 0.5000
Na 0.5000 0.5000 0.0000
Si 0.0000 0.0000 0.5000
Si 0.0000 0.5000 0.0000
Si 0.5000 0.0000 0.0000
Si 0.5000 0.5000 0.5000
I 0.2500 0.2500 0.2500
I 0.2500 0.2500 0.7500
I 0.2500 0.7500 0.2500
I 0.2500 0.7500 0.7500
I 0.7500 0.2500 0.2500
I 0.7500 0.2500 0.7500
I 0.7500 0.7500 0.2500
I 0.7500 0.7500 0.7500

Energy relative to the elements, uncorrected = -0.064 eV per atom

A relaxed structure of NaZnSn2I. Source: Alexandria, functional PBEsol.

Lattice parameters (Å, degrees): 5.0832 5.0832 6.3284 90.00 90.00 90.00
Fractional positions:
Na 0.0000 0.0000 0.0000
Zn 0.5000 0.5000 0.5000
Sn 0.0000 0.5000 0.5000
Sn 0.5000 0.0000 0.5000
I 0.5000 0.5000 0.0000

Energy relative to the elements, uncorrected = 0.105 eV per atom

A relaxed structure of NaSrTeI2. Source: Alexandria, functional PBEsol.

Lattice parameters (Å, degrees): 5.6433 5.6433 5.7686 90.00 90.00 90.00
Fractional positions:
Na 0.0000 0.0000 0.0000
Sr 0.5000 0.5000 0.5000
Te 0.0000 0.0000 0.5000
I 0.0000 0.5000 0.0000
I 0.5000 0.0000 0.0000

Energy relative to the elements, uncorrected = -0.765 eV per atom

A relaxed structure of NaTcTe2I. Source: Alexandria, functional PBEsol.

Lattice parameters (Å, degrees): 5.0973 5.0973 5.9639 90.00 90.00 90.00
Fractional positions:
Na 0.0000 0.0000 0.0000
Tc 0.5000 0.5000 0.5000
Te 0.0000 0.5000 0.5000
Te 0.5000 0.0000 0.5000
I 0.5000 0.5000 0.0000

Energy relative to the elements, uncorrected = 0.041 eV per atom

A relaxed structure of NaTe2I2. Source: Alexandria, functional PBEsol.

Lattice parameters (Å, degrees): 8.1558 8.1558 5.0748 90.00 90.00 90.00
Fractional positions:
Na 0.0000 0.0000 0.0000
Na 0.5000 0.5000 0.0000
Te 0.1215 0.3785 0.0000
Te 0.3785 0.8785 0.0000
Te 0.6215 0.1215 0.0000
Te 0.8785 0.6215 0.0000
I 0.2074 0.7074 0.5000
I 0.2926 0.2074 0.5000
I 0.7074 0.7926 0.5000
I 0.7926 0.2926 0.5000

Energy relative to the elements, uncorrected = -0.169 eV per atom

The records above give, respectively, V values of 28.1 32.1 34.2 27.6 32.7 36.7 31.0 33.8 Å³/atom.